[1]
Material: ScOs2
Method: DFT, PBE
State: relaxed

Structure (POSCAR):
```
ScOs2
1.0
10.1220 0.0000 0.0000
0.0000 2.8341 0.0000
-2.0430 0.0000 6.7867
Sc Os
4 8
Cartesian
1.4215 0.0000 0.8943
1.5965 1.4170 5.8923
6.4825 1.4170 0.8943
6.6575 0.0000 5.8923
-1.0861 1.4170 5.2453
0.3299 0.0000 3.4909
2.6880 1.4170 3.2958
4.1041 0.0000 1.5414
3.9749 0.0000 5.2453
5.3910 1.4170 3.4909
7.7490 0.0000 3.2958
9.1651 1.4170 1.5414
```

Computed properties:
Calculated volume: 194.7 Å³ per cell
Formation enthalpy at 0 K: -0.02 eV per atom

[2]
Material: ScOs2
Method: DFT, PBE
State: relaxed

Structure (POSCAR):
```
ScOs2
1.0
4.5190 0.0000 0.0000
-2.2595 3.9136 0.0000
0.0000 0.0000 5.3870
Sc Os
2 4
Cartesian
0.0000 2.6090 1.3468
2.2595 1.3045 4.0403
0.0000 0.0000 0.0000
0.0000 0.0000 2.6935
0.0000 2.6090 4.0403
2.2595 1.3045 1.3468
```

Computed properties:
Calculated volume: 95.3 Å³ per cell
Formation enthalpy at 0 K: 0.25 eV per atom

[3]
Material: Sc3Os
Method: DFT, PBE
State: relaxed

Structure (POSCAR):
```
Sc3Os
1.0
6.4731 0.0000 0.0000
0.0000 6.4907 0.0000
0.0000 0.0000 3.6765
Sc Os
6 2
Cartesian
0.0000 0.0000 0.0000
1.6183 1.6227 1.8382
1.6183 4.8680 1.8382
3.2366 3.2453 0.0000
4.8549 1.6227 1.8382
4.8549 4.8680 1.8382
0.0000 3.2453 0.0000
3.2366 0.0000 0.0000
```

Computed properties:
Calculated volume: 154.5 Å³ per cell
Formation enthalpy at 0 K: -0.09 eV per atom

[4]
Material: Sc5Os
Method: DFT, PBE
State: relaxed

Structure (POSCAR):
```
Sc5Os
1.0
5.3352 0.0000 0.0000
-2.6676 4.6204 0.0000
0.0000 0.0000 5.3730
Sc Os
5 1
Cartesian
-1.3338 2.3102 0.0000
0.0000 3.0803 2.6865
2.6676 0.0000 0.0000
1.3338 2.3102 0.0000
2.6676 1.5401 2.6865
0.0000 0.0000 2.6865
```

Computed properties:
Calculated volume: 132.5 Å³ per cell
Formation enthalpy at 0 K: 0.71 eV per atom
Energy relative to the lowest polymorph listed for this composition: 899 meV per atom

[5]
Material: Sc3Os
Method: DFT, PBE
State: relaxed

Structure (POSCAR):
```
Sc3Os
1.0
5.3883 0.0000 0.0000
0.0000 5.3883 0.0000
0.0000 0.0000 5.3883
Sc Os
6 2
Cartesian
0.0000 1.3471 2.6941
0.0000 4.0412 2.6941
1.3471 2.6941 0.0000
2.6941 0.0000 1.3471
2.6941 0.0000 4.0412
4.0412 2.6941 0.0000
0.0000 0.0000 0.0000
2.6941 2.6941 2.6941
```

Computed properties:
Calculated volume: 156.4 Å³ per cell
Formation enthalpy at 0 K: -0.02 eV per atom

[6]
Material: Sc3Os2
Method: DFT, PBE
State: relaxed

Structure (POSCAR):
```
Sc3Os2
1.0
3.1079 0.0000 0.0000
-1.5539 2.6915 0.0000
0.0000 0.0000 33.6063
Sc Os
9 6
Cartesian
0.0000 0.0000 0.0000
0.0000 0.0000 7.0915
0.0000 0.0000 26.5148
0.0000 1.7943 15.3127
0.0000 1.7943 22.4042
0.0000 1.7943 29.4957
1.5539 0.8972 4.1106
1.5539 0.8972 11.2021
1.5539 0.8972 18.2936
0.0000 0.0000 13.3247
0.0000 0.0000 20.2816
0.0000 1.7943 2.1226
0.0000 1.7943 9.0795
1.5539 0.8972 24.5268
1.5539 0.8972 31.4837
```

Computed properties:
Calculated volume: 281.1 Å³ per cell
Formation enthalpy at 0 K: 0.00 eV per atom
Energy relative to the lowest polymorph listed for this composition: 215 meV per atom

[7]
Material: ScOs5
Method: DFT, PBE
State: relaxed

Structure (POSCAR):
```
ScOs5
1.0
10.1162 0.0000 0.0000
0.0000 2.7763 0.0000
-1.6801 0.0000 6.4256
Sc Os
2 10
Cartesian
0.0000 0.0000 0.0000
5.0581 1.3882 0.0000
0.0818 1.3882 4.5489
1.2588 1.3882 2.1945
2.6505 0.0000 0.3473
2.3251 0.0000 4.2404
3.8910 1.3882 2.5480
5.1399 0.0000 4.5489
6.3169 0.0000 2.1945
7.7086 1.3882 0.3473
7.3832 1.3882 4.2404
8.9491 0.0000 2.5480
```

Computed properties:
Calculated volume: 180.5 Å³ per cell
Formation enthalpy at 0 K: -0.02 eV per atom
Energy relative to the lowest polymorph listed for this composition: 0 meV per atom

[8]
Material: ScOs2
Method: DFT, PBE
State: relaxed

Structure (POSCAR):
```
ScOs2
1.0
6.0478 0.0000 0.0000
0.0000 6.0478 0.0000
0.0000 0.0000 6.0478
Sc Os
4 8
Cartesian
0.0000 0.0000 0.0000
0.0000 3.0239 3.0239
3.0239 0.0000 3.0239
3.0239 3.0239 0.0000
1.5120 1.5120 1.5120
1.5120 1.5120 4.5359
1.5120 4.5359 1.5120
1.5120 4.5359 4.5359
4.5359 1.5120 1.5120
4.5359 1.5120 4.5359
4.5359 4.5359 1.5120
4.5359 4.5359 4.5359
```

Computed properties:
Calculated volume: 221.2 Å³ per cell
Formation enthalpy at 0 K: 1.13 eV per atom

[9]
Material: ScOs2
Method: DFT, PBE
State: relaxed

Structure (POSCAR):
```
ScOs2
1.0
5.2044 0.0000 0.0000
-2.6022 4.5071 0.0000
0.0000 0.0000 8.5818
Sc Os
4 8
Cartesian
0.0000 3.0047 0.5667
0.0000 3.0047 3.7242
2.6022 1.5024 4.8576
2.6022 1.5024 8.0151
0.0000 0.0000 0.0000
0.0000 0.0000 4.2909
0.0000 1.5564 6.4364
-1.2543 3.7289 6.4364
1.3479 0.7782 2.1455
1.2543 3.7289 6.4364
3.8564 0.7782 2.1455
2.6022 2.9507 2.1455
```

Computed properties:
Calculated volume: 201.3 Å³ per cell
Formation enthalpy at 0 K: -0.38 eV per atom

[10]
Material: ScOs2
Method: DFT, PBE
State: relaxed

Structure (POSCAR):
```
ScOs2
1.0
4.1885 0.0000 0.0000
-2.0942 3.6273 0.0000
0.0000 0.0000 3.7513
Sc Os
1 2
Cartesian
0.0000 0.0000 0.0000
0.0000 2.4182 1.8756
2.0942 1.2091 1.8756
```

Computed properties:
Calculated volume: 57.0 Å³ per cell
Formation enthalpy at 0 K: 0.16 eV per atom

[11]
Material: Sc3Os2
Method: DFT, PBE
State: relaxed

Structure (POSCAR):
```
Sc3Os2
1.0
4.5449 0.0000 0.0000
-2.2725 3.9360 0.0000
0.0000 0.0000 5.4876
Sc Os
3 2
Cartesian
0.0000 0.0000 0.0000
0.0000 2.6240 1.9070
2.2725 1.3120 3.5806
0.0000 2.6240 4.6497
2.2725 1.3120 0.8379
```

Computed properties:
Calculated volume: 98.2 Å³ per cell
Formation enthalpy at 0 K: -0.22 eV per atom
Energy relative to the lowest polymorph listed for this composition: 0 meV per atom

[12]
Material: Sc3Os
Method: DFT, PBE
State: relaxed

Structure (POSCAR):
```
Sc3Os
1.0
6.7430 0.0000 0.0000
0.0000 6.7430 0.0000
0.0000 0.0000 6.7430
Sc Os
12 4
Cartesian
0.0000 0.0000 0.0000
0.0000 3.3715 3.3715
1.6858 1.6858 1.6858
1.6858 1.6858 5.0573
1.6858 5.0573 1.6858
1.6858 5.0573 5.0573
3.3715 0.0000 3.3715
3.3715 3.3715 0.0000
5.0573 1.6858 1.6858
5.0573 1.6858 5.0573
5.0573 5.0573 1.6858
5.0573 5.0573 5.0573
0.0000 0.0000 3.3715
0.0000 3.3715 0.0000
3.3715 0.0000 0.0000
3.3715 3.3715 3.3715
```

Computed properties:
Calculated volume: 306.6 Å³ per cell
Formation enthalpy at 0 K: -0.17 eV per atom

[13]
Material: ScOs3
Method: DFT, PBE
State: relaxed

Structure (POSCAR):
```
ScOs3
1.0
2.8099 0.0000 0.0000
-1.4049 2.4334 0.0000
0.0000 0.0000 27.1973
Sc Os
3 9
Cartesian
0.0000 0.0000 0.0000
0.0000 1.6223 18.1315
1.4049 0.8111 9.0657
0.0000 0.0000 6.7020
0.0000 0.0000 13.5986
0.0000 0.0000 20.4952
0.0000 1.6223 4.5329
0.0000 1.6223 11.4295
0.0000 1.6223 24.8335
1.4049 0.8111 2.3637
1.4049 0.8111 15.7678
1.4049 0.8111 22.6644
```

Computed properties:
Calculated volume: 186.0 Å³ per cell
Formation enthalpy at 0 K: 0.21 eV per atom

[14]
Material: ScOs2
Method: DFT, PBE
State: relaxed

Structure (POSCAR):
```
ScOs2
1.0
4.4555 0.0000 0.0000
-2.2277 3.8586 0.0000
0.0000 0.0000 2.8592
Sc Os
1 2
Cartesian
0.0000 0.0000 0.0000
0.0000 2.5724 1.4296
2.2277 1.2862 1.4296
```

Computed properties:
Calculated volume: 49.2 Å³ per cell
Formation enthalpy at 0 K: -0.03 eV per atom